Record 1
ErTmAlHg PBE optimized geometry; total moment = 0.0 μB/f.u.; electronic total energy = -3.70 eV per atom; E_form = -1.70 eV/f.u.
1.0
-1.964 -2.994 -0.106
2.140 -1.491 2.455
-4.351 2.664 5.411
Er Tm Al Hg
1 1 1 1
Direct
0.000 0.000 0.847 Er
0.000 0.000 0.366 Tm
0.500 0.500 0.605 Al
0.500 0.500 0.110 Hg

---

Record 2
ErAlZnHg PBE optimized geometry; total moment = 0.0 μB/f.u.; electronic total energy = -2.73 eV per atom; E_form = -1.04 eV/f.u.
1.0
-4.839 -0.180 -0.532
-2.092 -3.948 -1.943
-2.649 -2.981 2.799
Zn Al Hg Er
1 1 1 1
Direct
0.750 0.750 0.750 Zn
0.000 0.000 0.000 Al
0.250 0.250 0.250 Hg
0.500 0.500 0.500 Er

---

Record 3
Er4AlZnHg2 PBE optimized geometry; total moment = 0.0 μB/f.u.; electronic total energy = -3.38 eV per atom; E_form = -3.16 eV/f.u.
1.0
5.139 0.000 0.000
2.569 4.450 0.000
2.569 1.483 8.404
Er Al Zn Hg
4 1 1 2
Direct
0.376 0.376 0.872 Er
0.874 0.874 0.378 Er
0.126 0.126 0.622 Er
0.624 0.624 0.128 Er
0.000 0.000 0.000 Al
0.500 0.500 0.500 Zn
0.750 0.750 0.749 Hg
0.250 0.250 0.251 Hg

---

Record 4
ErZrAlHg PBE optimized geometry; total moment = 0.0 μB/f.u.; electronic total energy = -4.56 eV per atom; E_form = -1.08 eV/f.u.
1.0
5.011 0.000 0.000
2.506 4.340 0.000
2.506 1.447 4.092
Al Hg Zr Er
1 1 1 1
Direct
0.500 0.500 0.500 Al
0.000 0.000 0.000 Hg
0.750 0.750 0.750 Zr
0.250 0.250 0.250 Er

---

Record 5
HoEr2Al PBE optimized geometry; total moment = 0.0 μB/f.u.; electronic total energy = -4.55 eV per atom; E_form = -0.77 eV/f.u.
1.0
-2.988 -1.263 -1.271
1.646 -2.911 -0.976
-1.814 -3.684 7.930
Al Ho Er
1 1 2
Direct
0.500 0.500 0.000 Al
0.500 0.500 0.500 Ho
0.000 0.000 0.785 Er
0.000 0.000 0.215 Er

---

Record 6
Ho2ErAl PBE optimized geometry; total moment = 0.0 μB/f.u.; electronic total energy = -4.56 eV per atom; E_form = -0.78 eV/f.u.
1.0
-3.512 1.878 -2.547
0.975 -2.980 -3.543
-3.013 -3.157 1.827
Al Ho Er
1 2 1
Direct
0.500 0.000 0.000 Al
0.000 0.000 0.500 Ho
0.000 0.500 0.000 Ho
0.500 0.500 0.500 Er

---

Record 7
Ho9Er4Al11 PBE optimized geometry; total moment = 0.0 μB/f.u.; electronic total energy = -4.52 eV per atom; E_form = -7.82 eV/f.u.
1.0
-0.474 -0.217 -3.302
-10.934 -7.624 2.073
-3.210 13.096 -0.400
Ho Er Al
9 4 11
Direct
0.500 0.613 0.163 Ho
0.500 0.387 0.837 Ho
0.500 0.163 0.613 Ho
0.500 0.837 0.387 Ho
0.500 0.796 0.987 Ho
0.500 0.204 0.013 Ho
0.500 0.987 0.796 Ho
0.500 0.013 0.204 Ho
0.500 0.500 0.500 Ho
0.500 0.593 0.758 Er
0.500 0.407 0.242 Er
0.500 0.758 0.593 Er
0.500 0.242 0.407 Er
0.000 0.588 0.960 Al
0.000 0.412 0.040 Al
0.000 0.960 0.588 Al
0.000 0.040 0.412 Al
0.000 0.621 0.379 Al
0.000 0.379 0.621 Al
0.000 0.813 0.187 Al
0.000 0.187 0.813 Al
0.000 0.000 0.000 Al
0.000 0.798 0.798 Al
0.000 0.202 0.202 Al

---

Record 8
HoEr6Al2 PBE optimized geometry; total moment = 0.0 μB/f.u.; electronic total energy = -4.55 eV per atom; E_form = -1.55 eV/f.u.
1.0
-2.935 1.950 0.841
-1.135 -1.048 6.274
5.115 8.757 5.353
Ho Er Al
1 6 2
Direct
0.000 0.000 0.000 Ho
0.687 0.502 0.124 Er
0.313 0.498 0.876 Er
0.311 0.791 0.587 Er
0.979 0.710 0.332 Er
0.021 0.290 0.668 Er
0.689 0.209 0.413 Er
0.352 0.090 0.206 Al
0.648 0.910 0.794 Al